# TaRuW

A relaxed structure of TaRuW (PBE, Alexandria via LeMat-Bulk).

Cell lengths 5.268, 5.268, 5.268 Å; angles 144.77, 144.68, 50.74 degrees
Element x y z (fractional)
Ru 0.999 0.999 0.000
Ta 0.333 0.333 0.000
W 0.667 0.667 0.000

energy = -0.8359 Ry/atom
ΔE to the lowest computed polymorph = 0 meV per atom